Entry 1:
! NpBeHg GGA-PBE relaxed; values from VASP
! **Excess energy over the best structure of this formula in the dataset**: 0.268 eV per atom
! **Crystal system**: cubic
! **Symmetry**: F-43m, No. 216
&SYSTEM
  ibrav = 0, nat = 3, ntyp = 3
/
ATOMIC_SPECIES
Np 237.00 Np.upf
Hg 200.59 Hg.upf
Be 9.01 Be.upf
CELL_PARAMETERS angstrom
0.000 3.333 3.333
3.333 0.000 3.333
3.333 3.333 0.000
ATOMIC_POSITIONS angstrom
Np 3.333 3.333 3.333
Hg 4.999 4.999 4.999
Be 0.000 0.000 0.000


Entry 2:
! ZrSn2 GGA-PBE relaxed; values from VASP
! **Crystal system**: orthorhombic
! **Symmetry**: Fddd, No. 70
&SYSTEM
  ibrav = 0, nat = 6, ntyp = 2
/
ATOMIC_SPECIES
Zr 91.22 Zr.upf
Sn 118.71 Sn.upf
CELL_PARAMETERS angstrom
0.000 4.819 5.008
2.842 0.000 5.008
2.842 4.819 0.000
ATOMIC_POSITIONS angstrom
Zr 1.421 2.410 2.504
Sn 2.842 6.444 5.008
Sn 4.263 5.604 7.512
Sn 2.842 3.194 5.008
Sn 4.263 8.853 7.512
Zr 0.000 0.000 0.000


Entry 3:
! YHo3Tm2Sb2Os GGA-PBE relaxed; values from VASP
! **Crystal system**: orthorhombic
! **Symmetry**: Amm2, No. 38
&SYSTEM
  ibrav = 0, nat = 9, ntyp = 5
/
ATOMIC_SPECIES
Os 190.23 Os.upf
Y 88.91 Y.upf
Sb 121.76 Sb.upf
Ho 164.93 Ho.upf
Tm 168.93 Tm.upf
CELL_PARAMETERS angstrom
4.190 0.000 0.000
0.000 7.029 4.085
0.000 -7.029 4.085
ATOMIC_POSITIONS angstrom
Os 0.000 0.000 0.048
Y 0.000 0.000 4.942
Sb 2.095 2.350 4.079
Ho 2.095 0.000 1.953
Tm 0.000 -4.288 5.673
Sb 2.095 -2.350 4.079
Ho 2.095 5.361 3.117
Ho 2.095 -5.361 3.117
Tm 0.000 4.288 5.673


Entry 4:
! Al2ZnIr GGA-PBE relaxed; values from VASP
! **Crystal system**: cubic
! **Symmetry**: F-43m, No. 216
&SYSTEM
  ibrav = 0, nat = 4, ntyp = 3
/
ATOMIC_SPECIES
Al 26.98 Al.upf
Zn 65.41 Zn.upf
Ir 192.22 Ir.upf
CELL_PARAMETERS angstrom
3.728 0.369 2.184
1.711 3.918 0.723
0.011 1.655 4.008
ATOMIC_POSITIONS angstrom
Al 0.000 0.000 0.000
Zn 1.362 1.486 1.728
Al 4.087 4.457 5.185
Ir 2.725 2.971 3.457


Entry 5:
! ZrZnFeHg GGA-PBE relaxed; values from VASP
! **Excess energy over the best structure of this formula in the dataset**: 0.000 eV per atom
! **Crystal system**: cubic
! **Symmetry**: F-43m, No. 216
! **ΔE_f**: 0.0840 eV per atom
&SYSTEM
  ibrav = 0, nat = 4, ntyp = 4
/
ATOMIC_SPECIES
Hg 200.59 Hg.upf
Zr 91.22 Zr.upf
Zn 65.41 Zn.upf
Fe 55.84 Fe.upf
CELL_PARAMETERS angstrom
0.000 3.275 3.275
3.275 0.000 3.275
3.275 3.275 0.000
ATOMIC_POSITIONS angstrom
Hg 3.275 3.275 3.275
Zr 1.637 1.637 1.637
Zn 0.000 0.000 0.000
Fe 4.912 4.912 4.912


Entry 6:
! NaCuTe3W GGA-PBE relaxed; values from VASP
! **Crystal system**: orthorhombic
! **Symmetry**: Cmcm, No. 63
&SYSTEM
  ibrav = 0, nat = 12, ntyp = 4
/
ATOMIC_SPECIES
W 183.84 W.upf
Te 127.60 Te.upf
Na 22.99 Na.upf
Cu 63.55 Cu.upf
CELL_PARAMETERS angstrom
7.384 -1.894 0.000
7.384 1.894 0.000
0.000 0.000 10.401
ATOMIC_POSITIONS angstrom
W 0.000 0.000 0.000
Te 5.397 0.000 5.659
Te 9.371 0.000 0.459
Na 11.281 0.000 7.801
Te 13.561 0.000 2.600
Cu 6.817 0.000 7.801
Te 1.207 0.000 7.801
W 0.000 0.000 5.201
Te 9.371 0.000 4.742
Na 3.486 0.000 2.600
Cu 7.951 0.000 2.600
Te 5.397 0.000 9.942


Number 1: total magnetization 1.339 μB/atom, VASP energy -14.2 eV/cell. Number 2: total magnetization 0.000 μB/atom, VASP energy -35.7 eV/cell. Number 3: total magnetization 0.001 μB/atom, VASP energy -54.6 eV/cell. Number 4: total magnetization 0.001 μB/atom, VASP energy -18.5 eV/cell. Number 5: total magnetization 0.596 μB/atom, VASP energy -18.1 eV/cell. Number 6: total magnetization 0.200 μB/atom, VASP energy -55.5 eV/cell.